a | The following is a DFT calculation (PBE-GGA) of an optimized crystal structure of Ta2NO.

```
Ta2NO
1.0
0.000 2.792 2.792
2.792 0.000 2.792
2.792 2.792 0.000
Ta N O
2 1 1
Direct
0.250 0.250 0.250
0.750 0.750 0.750
0.000 0.000 0.000
0.500 0.500 0.500
```

Results
Space-group type = No. 225

b | The following is a DFT calculation (PBE-GGA) of an optimized crystal structure of Ta2NO.

```
Ta2NO
1.0
-2.453 2.453 4.565
2.453 -2.453 4.565
2.453 2.453 -4.565
Ta N O
4 2 2
Direct
0.112 0.625 0.987
0.375 0.362 0.487
0.638 0.125 0.013
0.875 0.888 0.513
0.000 0.000 0.000
0.750 0.250 0.500
0.250 0.750 0.500
0.500 0.500 0.000
```

Results
Space-group type = No. 122

Which of them is least stable? Easy: a.